DFT (PBE with a Hubbard U) results for Cu6MoO8 after structural relaxation.

Output
Electronic total energy (eV/atom): -5.52
Total magnetic moment (μB/atom): 0.143

Cell: 5.503 5.503 5.503 Å, 90.14 90.14 90.14°
Sites, in units of the cell vectors:
Cu: 0.744 0.500 0.999
Cu: 0.500 0.999 0.744
Cu: 0.999 0.744 0.500
Cu: 0.256 0.500 0.001
Cu: 0.500 0.001 0.256
Cu: 0.001 0.256 0.500
Mo: 0.000 0.000 0.000
O: 0.768 0.768 0.768
O: 0.232 0.232 0.232
O: 0.768 0.769 0.230
O: 0.769 0.230 0.768
O: 0.230 0.768 0.769
O: 0.232 0.231 0.770
O: 0.231 0.770 0.232
O: 0.770 0.232 0.231


DFT (PBE with a Hubbard U) results for CuMo3O9 after structural relaxation.

Output
Electronic total energy (eV/atom): -6.71
Total magnetic moment (μB/atom): 0.075

Cell: 7.434 8.409 9.463 Å, 73.05 66.87 63.77°
Sites, in units of the cell vectors:
Cu: 0.998 0.498 0.997
Cu: 0.507 0.998 0.497
Mo: 0.767 0.569 0.666
Mo: 0.998 0.069 0.166
Mo: 0.026 0.925 0.807
Mo: 0.243 0.425 0.307
Mo: 0.510 0.254 0.752
Mo: 0.485 0.754 0.252
O: 0.393 0.192 0.330
O: 0.085 0.692 0.830
O: 0.266 0.285 0.899
O: 0.549 0.785 0.399
O: 0.188 0.011 0.639
O: 0.162 0.511 0.139
O: 0.714 0.698 0.093
O: 0.494 0.198 0.593
O: 0.838 0.984 0.332
O: 0.847 0.484 0.832
O: 0.643 0.804 0.656
O: 0.898 0.304 0.156
O: 0.378 0.574 0.326
O: 0.722 0.074 0.826
O: 0.574 0.464 0.687
O: 0.275 0.964 0.187
O: 0.007 0.000 0.994
O: 0.999 0.500 0.494


DFT (PBE with a Hubbard U) results for CuMoO4 after structural relaxation.

Output
Electronic total energy (eV/atom): -6.36
Total magnetic moment (μB/atom): 0.168
E above lowest polymorph (eV/atom): 0.007

Cell: 6.355 7.591 7.457 Å, 75.35 72.69 85.72°
Sites, in units of the cell vectors:
Cu: 0.185 0.691 0.160
Cu: 0.815 0.309 0.840
Cu: 0.807 0.702 0.500
Cu: 0.193 0.298 0.500
Mo: 0.778 0.743 0.004
Mo: 0.222 0.257 0.996
Mo: 0.216 0.747 0.636
Mo: 0.784 0.253 0.364
O: 0.132 0.679 0.918
O: 0.868 0.321 0.082
O: 0.495 0.673 0.583
O: 0.505 0.327 0.417
O: 0.860 0.658 0.241
O: 0.140 0.342 0.759
O: 0.498 0.672 0.088
O: 0.502 0.328 0.912
O: 0.131 0.689 0.431
O: 0.869 0.311 0.569
O: 0.772 0.018 0.420
O: 0.228 0.982 0.580
O: 0.773 0.978 0.962
O: 0.227 0.022 0.038
O: 0.859 0.700 0.747
O: 0.141 0.300 0.253


Q: Which formula does entry 2 have?
A: CuMo3O9


Q: total magnetic moment of number 1 (Cu6MoO8)?
A: 0.143 μB/atom